# BaPbIN2 PBE optimized geometry
data_BaPbIN2
_chemical_formula_sum 'Ba1 Pb1 I1 N2'
_cell_length_a 5.2083
_cell_length_b 5.2083
_cell_length_c 6.9304
_cell_angle_alpha 90.00
_cell_angle_beta 90.00
_cell_angle_gamma 90.00
_space_group_name_H-M_alt 'P 1'
_space_group_IT_number 1
loop_
_space_group_symop_operation_xyz
'x,y,z'
loop_
_atom_site_label
_atom_site_type_symbol
_atom_site_fract_x
_atom_site_fract_y
_atom_site_fract_z
Ba1 Ba 0.0000 0.0000 0.0000
Pb1 Pb 0.5000 0.5000 0.5000
I1 I 0.0000 0.0000 0.5000
N1 N 0.0000 0.5000 0.0000
N2 N 0.5000 0.0000 0.0000
# * uncorrected energy: -3.639 eV per atom
# * D(E_F): 2.98 states/eV/f.u.
# * size of the total moment: 3.009 μB/cell
# * energy relative to the lowest polymorph listed for this composition: 397 meV/atom
# * ΔE_f (raw): 1127 meV/atom

# Ca2Co2Ge PBE optimized geometry
data_Ca2Co2Ge
_chemical_formula_sum 'Ca4 Co4 Ge2'
_cell_length_a 6.3793
_cell_length_b 6.3793
_cell_length_c 4.5527
_cell_angle_alpha 90.00
_cell_angle_beta 90.00
_cell_angle_gamma 90.00
_space_group_name_H-M_alt 'P 1'
_space_group_IT_number 1
loop_
_space_group_symop_operation_xyz
'x,y,z'
loop_
_atom_site_label
_atom_site_type_symbol
_atom_site_fract_x
_atom_site_fract_y
_atom_site_fract_z
Ca1 Ca 0.1791 0.3209 0.0000
Ca2 Ca 0.3209 0.8209 0.0000
Ca3 Ca 0.6791 0.1791 0.0000
Ca4 Ca 0.8209 0.6791 0.0000
Co1 Co 0.1274 0.6274 0.5000
Co2 Co 0.3726 0.1274 0.5000
Co3 Co 0.6274 0.8726 0.5000
Co4 Co 0.8726 0.3726 0.5000
Ge1 Ge 0.0000 0.0000 0.5000
Ge2 Ge 0.5000 0.5000 0.5000
# * uncorrected energy: -4.627 eV per atom
# * D(E_F): 3.68 states/eV/f.u.
# * size of the total moment: 1.947 μB/cell
# * ΔE_f: -61 meV/atom

# Ca2ReSb PBE optimized geometry
data_Ca2ReSb
_chemical_formula_sum 'Ca2 Re1 Sb1'
_cell_length_a 6.1131
_cell_length_b 6.1131
_cell_length_c 5.1448
_cell_angle_alpha 114.73
_cell_angle_beta 114.73
_cell_angle_gamma 35.15
_space_group_name_H-M_alt 'P 1'
_space_group_IT_number 1
loop_
_space_group_symop_operation_xyz
'x,y,z'
loop_
_atom_site_label
_atom_site_type_symbol
_atom_site_fract_x
_atom_site_fract_y
_atom_site_fract_z
Ca1 Ca 0.0000 0.0000 0.0000
Ca2 Ca 0.2120 0.2120 0.7117
Re1 Re 0.7572 0.7572 0.2569
Sb1 Sb 0.4394 0.4394 0.4392
# * uncorrected energy: -4.973 eV per atom
# * D(E_F): 1.89 states/eV/f.u.
# * size of the total moment: 0.000 μB/cell
# * ΔE_f (raw): 171 meV/atom

# Dy2Pd7Pt3 PBE optimized geometry
data_Dy2Pd7Pt3
_chemical_formula_sum 'Dy2 Pd7 Pt3'
_cell_length_a 4.5432
_cell_length_b 4.9454
_cell_length_c 10.6228
_cell_angle_alpha 100.95
_cell_angle_beta 91.70
_cell_angle_gamma 113.21
_space_group_name_H-M_alt 'P 1'
_space_group_IT_number 1
loop_
_space_group_symop_operation_xyz
'x,y,z'
loop_
_atom_site_label
_atom_site_type_symbol
_atom_site_fract_x
_atom_site_fract_y
_atom_site_fract_z
Dy1 Dy 0.2284 0.4419 0.2673
Dy2 Dy 0.7716 0.5581 0.7327
Pd1 Pd 0.0000 0.0000 0.0000
Pd2 Pd 0.0897 0.1963 0.7718
Pd3 Pd 0.1614 0.3080 0.5273
Pd4 Pd 0.4622 0.9324 0.8678
Pd5 Pd 0.5378 0.0676 0.1322
Pd6 Pd 0.8386 0.6920 0.4727
Pd7 Pd 0.9103 0.8037 0.2282
Pt1 Pt 0.4537 0.9291 0.6140
Pt2 Pt 0.5000 0.5000 0.0000
Pt3 Pt 0.5463 0.0709 0.3860
# * uncorrected energy: -5.797 eV per atom
# * D(E_F): 9.78 states/eV/f.u.
# * size of the total moment: 0.000 μB/cell
# * ΔE_f: -490 meV/atom

Among the records above, which one has the highest size of the total moment?
BaPbIN2

Among the records above, which one has the lowest D(E_F)?
Ca2ReSb